1.
Entry from the Alexandria database: an optimized crystal structure of TcHg (PBE-GGA).

Total energy = -4.62 eV per atom

a = 4.155 Å, b = 4.155 Å, c = 8.042 Å
α = 90.00°, β = 90.00°, γ = 90.00°
Space group I4_1/amd (No. 141, origin choice 2)
Unique sites:
Tc  0.000  0.250  0.375 (multiplicity 4)
Hg  0.000  0.250  0.875 (multiplicity 4)

2.
Entry from the Alexandria database: an optimized crystal structure of Pm2HS (PBE-GGA).

Total energy = -5.38 eV per atom

a = 3.8875 Å, b = 3.8875 Å, c = 18.8265 Å
α = 90.00°, β = 90.00°, γ = 120.00°
Space group R-3m (No. 166, hexagonal axes)
Unique sites:
Pm  0.0000  0.0000  0.2468 (multiplicity 6)
H  0.0000  0.0000  0.5000 (multiplicity 3)
S  0.0000  0.0000  0.0000 (multiplicity 3)

3.
Entry from the Alexandria database: an optimized crystal structure of CsMoAs2 (PBE-GGA).

Total energy = -5.32 eV per atom

a = 3.5836 Å, b = 3.5836 Å, c = 26.4849 Å
α = 90.00°, β = 90.00°, γ = 120.00°
Space group R-3m (No. 166, hexagonal axes)
Unique sites:
Cs  0.0000  0.0000  0.0000 (multiplicity 3)
Mo  0.0000  0.0000  0.5000 (multiplicity 3)
As  0.0000  0.0000  0.2267 (multiplicity 6)

4.
Entry from the Alexandria database: an optimized crystal structure of Sm4SbPb2 (PBE-GGA).

Total energy = -4.88 eV per atom
Uncorrected formation energy = -532 meV/atom

a = 6.255 Å, b = 6.634 Å, c = 10.609 Å
α = 90.00°, β = 98.63°, γ = 90.00°
Space group P2_1/m (No. 11)
Unique sites:
Sm  0.039  0.250  0.151 (multiplicity 2)
Sm  0.146  0.750  0.445 (multiplicity 2)
Sm  0.419  0.010  0.731 (multiplicity 4)
Sb  0.045  0.750  0.157 (multiplicity 2)
Pb  0.299  0.250  0.451 (multiplicity 2)
Pb  0.498  0.750  0.994 (multiplicity 2)

5.
Entry from the Alexandria database: an optimized crystal structure of CdAu2Cl (PBE-GGA).

Total energy = -2.30 eV per atom
Uncorrected formation energy = 25 meV/atom

a = 3.162 Å, b = 3.162 Å, c = 7.932 Å
α = 90.00°, β = 90.00°, γ = 90.00°
Space group P4/mmm (No. 123)
Unique sites:
Cd  0.000  0.000  0.000 (multiplicity 1)
Au  0.500  0.500  0.238 (multiplicity 2)
Cl  0.000  0.000  0.500 (multiplicity 1)

6.
Entry from the Alexandria database: an optimized crystal structure of Sm2YTm3As6 (PBE-GGA).

Total energy = -6.28 eV per atom

a = 17.973 Å, b = 4.127 Å, c = 8.246 Å
α = 90.00°, β = 103.21°, γ = 90.00°
Space group C2/m (No. 12)
Unique sites:
Sm  0.166  0.000  0.333 (multiplicity 4)
Y  0.000  0.500  0.000 (multiplicity 2)
Tm  0.000  0.500  0.500 (multiplicity 2)
Tm  0.167  0.000  0.834 (multiplicity 4)
As  0.002  0.000  0.749 (multiplicity 4)
As  0.165  0.500  0.589 (multiplicity 4)
As  0.167  0.500  0.077 (multiplicity 4)

7.
Entry from the Alexandria database: an optimized crystal structure of GeIO2 (PBE-GGA).

Total energy = -4.94 eV per atom
Uncorrected formation energy = -923 meV/atom

a = 3.0526 Å, b = 3.0526 Å, c = 31.0429 Å
α = 90.00°, β = 90.00°, γ = 120.00°
Space group R-3m (No. 166, hexagonal axes)
Unique sites:
Ge  0.0000  0.0000  0.0000 (multiplicity 3)
I  0.0000  0.0000  0.5000 (multiplicity 3)
O  0.0000  0.0000  0.3633 (multiplicity 6)

8.
Entry from the Alexandria database: an optimized crystal structure of RbPaZnTe4 (PBE-GGA).

Total energy = -4.21 eV per atom
Uncorrected formation energy = -741 meV/atom

a = 7.004 Å, b = 7.539 Å, c = 10.165 Å
α = 90.00°, β = 109.00°, γ = 90.00°
Space group P2_1/m (No. 11)
Unique sites:
Rb  0.181  0.250  0.462 (multiplicity 2)
Pa  0.325  0.750  0.057 (multiplicity 2)
Zn  0.118  0.250  0.845 (multiplicity 2)
Te  0.117  0.250  0.101 (multiplicity 2)
Te  0.248  0.750  0.333 (multiplicity 2)
Te  0.341  0.518  0.801 (multiplicity 4)